ZrZnAg: relaxed, PBE-GGA.

Calculated values
Symmetry   P-6m2 (187)
ΔH_f (0 K)   -16 kJ per mole of atoms
Density of states at the Fermi level   0.34 states/eV per atom
DFT total energy   -4.39 eV/atom
ρ   8.1 g/cm³

Lattice parameters (Å, degrees): 4.650 4.650 2.898 90.00 90.00 120.00
Sites, in units of the cell vectors:
Zr  0.000  0.000  0.000
Zn  0.667  0.333  0.500
Ag  0.333  0.667  0.500

KH3N: relaxed, PBE-GGA.

Calculated values
Distance to the lowest polymorph of the same formula   22 meV/atom
Symmetry   R3m (160)
Density of states at the Fermi level   0.21 states/eV per atom
DFT total energy   -4.14 eV/atom
ρ   0.9 g/cm³

Lattice parameters (Å, degrees): 6.512 6.512 6.512 40.55 40.55 40.55
Sites, in units of the cell vectors:
K  0.000  0.000  0.000
H  0.062  0.062  0.422
H  0.062  0.422  0.062
H  0.422  0.062  0.062
N  0.206  0.206  0.206

Nd6GeIr2I3: relaxed, PBE-GGA.

Calculated values
Symmetry   C2/m (12)
Density of states at the Fermi level   0.68 states/eV per atom
DFT total energy   -5.58 eV/atom
ρ   7.4 g/cm³

Lattice parameters (Å, degrees): 7.420 7.420 8.392 98.49 98.49 119.99
Sites, in units of the cell vectors:
Nd  0.090  0.438  0.811
Nd  0.215  0.215  0.188
Nd  0.438  0.090  0.811
Nd  0.562  0.910  0.189
Nd  0.785  0.785  0.812
Nd  0.910  0.562  0.189
Ge  0.500  0.500  0.000
Ir  0.167  0.833  0.000
Ir  0.833  0.167  0.000
I  0.000  0.000  0.500
I  0.338  0.662  0.500
I  0.662  0.338  0.500